(1)
Compound: HoTmNi2
Source: Alexandria
Functional: PBE-GGA
Structure: relaxed

Cell and atoms, written as CIF:
```
data_HoTmNi2
_space_group_name_H-M_alt 'A m m 2'
_space_group_IT_number 38
_cell_length_a 4.154
_cell_length_b 3.710
_cell_length_c 10.087
_cell_angle_alpha 90.00
_cell_angle_beta 90.00
_cell_angle_gamma 90.00
loop_
_space_group_symop_operation_xyz
'x,y,z'
'-x,-y,z'
'-x,y,z'
'x,-y,z'
'x,y+1/2,z+1/2'
'-x,-y+1/2,z+1/2'
'-x,y+1/2,z+1/2'
'x,-y+1/2,z+1/2'
loop_
_atom_site_label
_atom_site_fract_x
_atom_site_fract_y
_atom_site_fract_z
Ho1 0.000 0.000 0.000
Tm1 0.500 0.000 0.280
Ni1 0.000 0.000 0.714
Ni2 0.500 0.000 0.568
```

Results
* total DFT energy (no corrections): -5.64 eV per atom
* volume: 78 Å³/f.u.
* energy relative to the elements: -0.49 eV per atom


(2)
Compound: Th2InAg2
Source: Alexandria
Functional: PBE-GGA
Structure: relaxed

Cell and atoms, written as CIF:
```
data_Th2InAg2
_space_group_name_H-M_alt 'I m m m'
_space_group_IT_number 71
_space_group_name_Hall '-I 2 2'
_cell_length_a 4.534
_cell_length_b 6.263
_cell_length_c 9.107
_cell_angle_alpha 90.00
_cell_angle_beta 90.00
_cell_angle_gamma 90.00
loop_
_atom_site_label
_atom_site_fract_x
_atom_site_fract_y
_atom_site_fract_z
Th1 0.000 0.000 0.205
In1 0.000 0.500 0.000
Ag1 0.000 0.278 0.500
```

Results
* total DFT energy (no corrections): -4.79 eV per atom
* volume: 129 Å³/f.u.
* energy relative to the elements: -0.13 eV per atom


(3)
Compound: Sc4HCN
Source: Alexandria
Functional: PBE-GGA
Structure: relaxed

Cell and atoms, written as CIF:
```
data_Sc4HCN
_space_group_name_H-M_alt 'I m m a'
_space_group_IT_number 74
_space_group_name_Hall '-I 2b 2'
_cell_length_a 6.527
_cell_length_b 6.633
_cell_length_c 9.269
_cell_angle_alpha 90.00
_cell_angle_beta 90.00
_cell_angle_gamma 90.00
loop_
_atom_site_label
_atom_site_fract_x
_atom_site_fract_y
_atom_site_fract_z
Sc1 0.000 0.016 0.245
Sc2 0.240 0.250 0.007
H1 0.000 0.250 0.632
C1 0.000 0.000 0.000
N1 0.250 0.250 0.250
```

Results
* total DFT energy (no corrections): -7.48 eV per atom
* volume: 100 Å³/f.u.


(4)
Compound: Mg6AgIr2
Source: Alexandria
Functional: PBE-GGA
Structure: relaxed

Cell and atoms, written as CIF:
```
data_Mg6AgIr2
_space_group_name_H-M_alt 'P -3 m 1'
_space_group_IT_number 164
_space_group_name_Hall '-P 3 2"'
_cell_length_a 4.5957
_cell_length_b 4.5957
_cell_length_c 8.5726
_cell_angle_alpha 90.00
_cell_angle_beta 90.00
_cell_angle_gamma 120.00
loop_
_atom_site_label
_atom_site_fract_x
_atom_site_fract_y
_atom_site_fract_z
Mg1 0.0000 0.0000 0.1939
Mg2 0.3333 0.6667 0.0655
Mg3 0.3333 0.6667 0.4025
Ag1 0.0000 0.0000 0.5000
Ir1 0.3333 0.6667 0.7445
```

Results
* total DFT energy (no corrections): -3.62 eV per atom
* volume: 157 Å³/f.u.
* energy relative to the elements: -0.27 eV per atom


(5)
Compound: In2SbCl
Source: Alexandria
Functional: PBE-GGA
Structure: relaxed

Cell and atoms, written as CIF:
```
data_In2SbCl
_space_group_name_H-M_alt 'A m m 2'
_space_group_IT_number 38
_cell_length_a 4.895
_cell_length_b 3.922
_cell_length_c 11.885
_cell_angle_alpha 90.00
_cell_angle_beta 90.00
_cell_angle_gamma 90.00
loop_
_space_group_symop_operation_xyz
'x,y,z'
'-x,-y,z'
'-x,y,z'
'x,-y,z'
'x,y+1/2,z+1/2'
'-x,-y+1/2,z+1/2'
'-x,y+1/2,z+1/2'
'x,-y+1/2,z+1/2'
loop_
_atom_site_label
_atom_site_fract_x
_atom_site_fract_y
_atom_site_fract_z
In1 0.000 0.000 0.000
In2 0.500 0.000 0.247
Sb1 0.500 0.000 0.519
Cl1 0.000 0.000 0.772
```

Results
* total DFT energy (no corrections): -3.18 eV per atom
* volume: 114 Å³/f.u.
* E_form (uncorrected): -316 meV/atom


(6)
Compound: InAg2Cl
Source: Alexandria
Functional: PBE-GGA
Structure: relaxed

Cell and atoms, written as CIF:
```
data_InAg2Cl
_space_group_name_H-M_alt 'I -4 2 d'
_space_group_IT_number 122
_space_group_name_Hall 'I -4 2bw'
_cell_length_a 7.718
_cell_length_b 7.718
_cell_length_c 6.086
_cell_angle_alpha 90.00
_cell_angle_beta 90.00
_cell_angle_gamma 90.00
loop_
_atom_site_label
_atom_site_fract_x
_atom_site_fract_y
_atom_site_fract_z
In1 0.000 0.000 0.000
Ag1 0.241 0.250 0.625
Cl1 0.000 0.000 0.500
```

Results
* total DFT energy (no corrections): -2.64 eV per atom
* volume: 91 Å³/f.u.
* E_form (uncorrected): -71 meV/atom


(7)
Compound: La2AlNi
Source: Alexandria
Functional: PBE-GGA
Structure: relaxed

Cell and atoms, written as CIF:
```
data_La2AlNi
_space_group_name_H-M_alt 'I m m 2'
_space_group_IT_number 44
_cell_length_a 3.588
_cell_length_b 4.925
_cell_length_c 10.847
_cell_angle_alpha 90.00
_cell_angle_beta 90.00
_cell_angle_gamma 90.00
loop_
_space_group_symop_operation_xyz
'x,y,z'
'-x,-y,z'
'-x,y,z'
'x,-y,z'
'x+1/2,y+1/2,z+1/2'
'-x+1/2,-y+1/2,z+1/2'
'-x+1/2,y+1/2,z+1/2'
'x+1/2,-y+1/2,z+1/2'
loop_
_atom_site_label
_atom_site_fract_x
_atom_site_fract_y
_atom_site_fract_z
La1 0.000 0.000 0.000
La2 0.000 0.500 0.198
Al1 0.000 0.000 0.398
Ni1 0.000 0.500 0.743
```

Results
* total DFT energy (no corrections): -5.16 eV per atom
* volume: 96 Å³/f.u.
* energy relative to the elements: -0.31 eV per atom


(8)
Compound: Ge2IrRuC
Source: Alexandria
Functional: PBE-GGA
Structure: relaxed

Cell and atoms, written as CIF:
```
data_Ge2IrRuC
_space_group_name_H-M_alt 'P 4/m m m'
_space_group_IT_number 123
_space_group_name_Hall '-P 4 2'
_cell_length_a 4.362
_cell_length_b 4.362
_cell_length_c 3.856
_cell_angle_alpha 90.00
_cell_angle_beta 90.00
_cell_angle_gamma 90.00
loop_
_atom_site_label
_atom_site_fract_x
_atom_site_fract_y
_atom_site_fract_z
Ge1 0.000 0.500 0.000
Ir1 0.000 0.000 0.500
Ru1 0.500 0.500 0.500
C1 0.000 0.000 0.000
```

Results
* total DFT energy (no corrections): -6.45 eV per atom
* volume: 73 Å³/f.u.
* energy relative to the elements: 0.87 eV per atom


(9)
Compound: TlZnNF2
Source: Alexandria
Functional: PBE-GGA
Structure: relaxed

Cell and atoms, written as CIF:
```
data_TlZnNF2
_space_group_name_H-M_alt 'P 4/m m m'
_space_group_IT_number 123
_space_group_name_Hall '-P 4 2'
_cell_length_a 4.467
_cell_length_b 4.467
_cell_length_c 4.315
_cell_angle_alpha 90.00
_cell_angle_beta 90.00
_cell_angle_gamma 90.00
loop_
_atom_site_label
_atom_site_fract_x
_atom_site_fract_y
_atom_site_fract_z
Tl1 0.000 0.000 0.000
Zn1 0.500 0.500 0.500
N1 0.000 0.000 0.500
F1 0.000 0.500 0.000
```

Results
* total DFT energy (no corrections): -3.24 eV per atom
* volume: 86 Å³/f.u.
* E_form (uncorrected): -93 meV/atom


(10)
Compound: Tb3Nd5Mg
Source: Alexandria
Functional: PBE-GGA
Structure: relaxed

Cell and atoms, written as CIF:
```
data_Tb3Nd5Mg
_space_group_name_H-M_alt 'C 1 2/m 1'
_space_group_IT_number 12
_cell_length_a 14.845
_cell_length_b 11.782
_cell_length_c 9.125
_cell_angle_alpha 90.00
_cell_angle_beta 121.84
_cell_angle_gamma 90.00
loop_
_space_group_symop_operation_xyz
'x,y,z'
'-x,-y,-z'
'-x,y,-z'
'x,-y,z'
'x+1/2,y+1/2,z'
'-x+1/2,-y+1/2,-z'
'-x+1/2,y+1/2,-z'
'x+1/2,-y+1/2,z'
loop_
_atom_site_label
_atom_site_fract_x
_atom_site_fract_y
_atom_site_fract_z
Tb1 0.000 0.000 0.000
Tb2 0.000 0.000 0.500
Tb3 0.140 0.500 0.086
Tb4 0.200 0.500 0.780
Nd1 0.000 0.256 0.000
Nd2 0.052 0.500 0.352
Nd3 0.170 0.237 0.698
Nd4 0.185 0.000 0.432
Mg1 0.135 0.000 0.860
```

Results
* total DFT energy (no corrections): -3.84 eV per atom
* volume: 339 Å³/f.u.
* energy relative to the elements: 0.53 eV per atom


(11)
Compound: Er2ScSn2
Source: Alexandria
Functional: PBE-GGA
Structure: relaxed

Cell and atoms, written as CIF:
```
data_Er2ScSn2
_space_group_name_H-M_alt 'I m m m'
_space_group_IT_number 71
_space_group_name_Hall '-I 2 2'
_cell_length_a 4.537
_cell_length_b 6.545
_cell_length_c 8.952
_cell_angle_alpha 90.00
_cell_angle_beta 90.00
_cell_angle_gamma 90.00
loop_
_atom_site_label
_atom_site_fract_x
_atom_site_fract_y
_atom_site_fract_z
Er1 0.000 0.000 0.198
Sc1 0.000 0.500 0.000
Sn1 0.000 0.275 0.500
```

Results
* total DFT energy (no corrections): -5.29 eV per atom
* volume: 133 Å³/f.u.
* energy relative to the elements: -0.59 eV per atom


(12)
Compound: Sc2AsIrO
Source: Alexandria
Functional: PBE-GGA
Structure: relaxed

Cell and atoms, written as CIF:
```
data_Sc2AsIrO
_space_group_name_H-M_alt 'P 4/m m m'
_space_group_IT_number 123
_space_group_name_Hall '-P 4 2'
_cell_length_a 5.104
_cell_length_b 5.104
_cell_length_c 4.466
_cell_angle_alpha 90.00
_cell_angle_beta 90.00
_cell_angle_gamma 90.00
loop_
_atom_site_label
_atom_site_fract_x
_atom_site_fract_y
_atom_site_fract_z
Sc1 0.000 0.500 0.000
As1 0.000 0.000 0.500
Ir1 0.000 0.000 0.000
O1 0.500 0.500 0.500
```

Results
* total DFT energy (no corrections): -6.37 eV per atom
* volume: 116 Å³/f.u.
* E_form (uncorrected): -145 meV/atom